Record 1
Here is an optimized crystal structure of GeAs3Os from the Alexandria database. Energies are from PBE-GGA.

```
GeAs3Os
1.0
4.7382 0.0000 0.0000
0.0000 4.7382 0.0000
0.0000 0.0000 4.7382
Ge As Os
1 3 1
Direct
0.0000 0.0000 0.0000 Ge
0.0000 0.0000 0.5000 As
0.0000 0.5000 0.0000 As
0.5000 0.0000 0.0000 As
0.5000 0.5000 0.5000 Os
```

Summary:
Crystal system ... cubic
Energy of formation ... 1.603 eV per atom


Record 2
Here is an optimized crystal structure of GeAsOs2 from the Alexandria database. Energies are from PBE-GGA.

```
GeAsOs2
1.0
-2.7621 2.7621 5.5336
2.7621 -2.7621 5.5336
2.7621 2.7621 -5.5336
Ge As Os
2 2 4
Direct
0.0000 0.0000 0.0000 Ge
0.7500 0.2500 0.5000 Ge
0.2500 0.7500 0.5000 As
0.5000 0.5000 0.0000 As
0.1305 0.6250 0.0055 Os
0.3750 0.3805 0.5055 Os
0.6195 0.1250 0.9945 Os
0.8750 0.8695 0.4945 Os
```

Summary:
Offset from the most stable computed form ... 428.2 meV per atom
Crystal system ... tetragonal
Energy of formation ... 0.753 eV per atom


Record 3
Here is an optimized crystal structure of GeAsOs from the Alexandria database. Energies are from PBE-GGA.

```
GeAsOs
1.0
2.9679 0.0000 0.0000
0.0000 5.7577 0.0000
0.0000 0.0000 6.2145
Ge As Os
2 2 2
Direct
0.0000 0.0672 0.0000 Ge
0.5000 0.9328 0.5000 Ge
0.0000 0.4247 0.7419 As
0.5000 0.5753 0.2419 As
0.0000 0.2618 0.3681 Os
0.5000 0.7382 0.8681 Os
```

Summary:
Crystal system ... orthorhombic
Energy of formation ... 0.014 eV per atom


Record 4
Here is an optimized crystal structure of Ge3AsOs from the Alexandria database. Energies are from PBE-GGA.

```
Ge3AsOs
1.0
4.8090 0.0000 0.0000
0.0000 4.8090 0.0000
0.0000 0.0000 4.8090
Ge As Os
3 1 1
Direct
0.0000 0.0000 0.5000 Ge
0.0000 0.5000 0.0000 Ge
0.5000 0.0000 0.0000 Ge
0.0000 0.0000 0.0000 As
0.5000 0.5000 0.5000 Os
```

Summary:
Offset from the most stable computed form ... 1150.1 meV per atom
Crystal system ... cubic
Energy of formation ... 1.580 eV per atom


Record 5
Here is an optimized crystal structure of GeAs2Os from the Alexandria database. Energies are from PBE-GGA.

```
GeAs2Os
1.0
-2.8902 2.8902 5.4961
2.8902 -2.8902 5.4961
2.8902 2.8902 -5.4961
Ge As Os
2 4 2
Direct
0.0000 0.0000 0.0000 Ge
0.7500 0.2500 0.5000 Ge
0.1497 0.6250 0.0247 As
0.3750 0.3997 0.5247 As
0.6003 0.1250 0.9753 As
0.8750 0.8503 0.4753 As
0.2500 0.7500 0.5000 Os
0.5000 0.5000 0.0000 Os
```

Summary:
Crystal system ... tetragonal
Energy of formation ... 0.293 eV per atom


Record 6
Here is an optimized crystal structure of Ge3AsOs from the Alexandria database. Energies are from PBE-GGA.

```
Ge3AsOs
1.0
4.7959 0.0000 0.0000
0.0000 4.7959 0.0000
0.0000 0.0000 4.7959
Ge As Os
3 1 1
Direct
0.0000 0.0000 0.5000 Ge
0.0000 0.5000 0.0000 Ge
0.5000 0.0000 0.0000 Ge
0.5000 0.5000 0.5000 As
0.0000 0.0000 0.0000 Os
```

Summary:
Offset from the most stable computed form ... 0.0 meV per atom
Crystal system ... cubic
Energy of formation ... 0.430 eV per atom


Record 7
Here is an optimized crystal structure of GeAs2OsPb from the Alexandria database. Energies are from PBE-GGA.

```
GeAs2OsPb
1.0
5.3136 0.0000 0.0000
0.0000 5.3136 0.0000
0.0000 0.0000 5.2100
Ge As Os Pb
1 2 1 1
Direct
0.0000 0.0000 0.0000 Ge
0.0000 0.5000 0.5000 As
0.5000 0.0000 0.5000 As
0.5000 0.5000 0.0000 Os
0.0000 0.0000 0.5000 Pb
```

Summary:
Crystal system ... tetragonal
Energy of formation ... 2.190 eV per atom


Record 8
Here is an optimized crystal structure of GeAs2OsSe from the Alexandria database. Energies are from PBE-GGA.

```
GeAs2OsSe
1.0
4.7257 0.0000 0.0000
0.0000 4.7257 0.0000
0.0000 0.0000 4.7768
Ge As Os Se
1 2 1 1
Direct
0.0000 0.0000 0.0000 Ge
0.0000 0.5000 0.0000 As
0.5000 0.0000 0.0000 As
0.5000 0.5000 0.5000 Os
0.0000 0.0000 0.5000 Se
```

Summary:
Offset from the most stable computed form ... 894.8 meV per atom
Crystal system ... tetragonal
Uncorrected formation energy ... 1.55 eV/atom


Record 9
Here is an optimized crystal structure of GeAsOsSe2 from the Alexandria database. Energies are from PBE-GGA.

```
GeAsOsSe2
1.0
4.7716 0.0000 0.0000
0.0000 4.7716 0.0000
0.0000 0.0000 4.7398
Ge As Os Se
1 1 1 2
Direct
0.0000 0.0000 0.0000 Ge
0.0000 0.0000 0.5000 As
0.5000 0.5000 0.5000 Os
0.0000 0.5000 0.0000 Se
0.5000 0.0000 0.0000 Se
```

Summary:
Offset from the most stable computed form ... 811.4 meV per atom
Crystal system ... tetragonal
Uncorrected formation energy ... 1.51 eV/atom


Record 10
Here is an optimized crystal structure of GeAs2OsSe from the Alexandria database. Energies are from PBE-GGA.

```
GeAs2OsSe
1.0
4.6492 0.0000 0.0000
0.0000 4.6492 0.0000
0.0000 0.0000 5.5213
Ge As Os Se
1 2 1 1
Direct
0.0000 0.0000 0.0000 Ge
0.0000 0.5000 0.5000 As
0.5000 0.0000 0.5000 As
0.5000 0.5000 0.5000 Os
0.5000 0.5000 0.0000 Se
```

Summary:
Offset from the most stable computed form ... 0.0 meV per atom
Crystal system ... tetragonal
Uncorrected formation energy ... 0.65 eV/atom


Record 11
Here is an optimized crystal structure of GeAsOsSe2 from the Alexandria database. Energies are from PBE-GGA.

```
GeAsOsSe2
1.0
5.0711 0.0000 0.0000
0.0000 5.0711 0.0000
0.0000 0.0000 4.6156
Ge As Os Se
1 1 1 2
Direct
0.0000 0.0000 0.0000 Ge
0.5000 0.5000 0.0000 As
0.5000 0.5000 0.5000 Os
0.0000 0.5000 0.5000 Se
0.5000 0.0000 0.5000 Se
```

Summary:
Offset from the most stable computed form ... 0.0 meV per atom
Crystal system ... tetragonal
Uncorrected formation energy ... 0.70 eV/atom


Record 12
Here is an optimized crystal structure of TcGeAs2Os from the Alexandria database. Energies are from PBE-GGA.

```
TcGeAs2Os
1.0
4.8170 0.0000 0.0000
0.0000 4.8170 0.0000
0.0000 0.0000 4.7187
Tc Ge As Os
1 1 2 1
Direct
0.0000 0.0000 0.0000 Tc
0.5000 0.5000 0.0000 Ge
0.0000 0.5000 0.5000 As
0.5000 0.0000 0.5000 As
0.5000 0.5000 0.5000 Os
```

Summary:
Crystal system ... tetragonal
Energy of formation ... 1.196 eV per atom


Record 13
Here is an optimized crystal structure of TiGeAsOs2 from the Alexandria database. Energies are from PBE-GGA.

```
TiGeAsOs2
1.0
4.5414 0.0000 0.0000
0.0000 4.5414 0.0000
0.0000 0.0000 4.6771
Ti Ge As Os
1 1 1 2
Direct
0.0000 0.0000 0.0000 Ti
0.0000 0.0000 0.5000 Ge
0.5000 0.5000 0.0000 As
0.0000 0.5000 0.5000 Os
0.5000 0.0000 0.5000 Os
```

Summary:
Crystal system ... tetragonal
Energy of formation ... 1.234 eV per atom


Record 14
Here is an optimized crystal structure of Zr2GeAsOs from the Alexandria database. Energies are from PBE-GGA.

```
Zr2GeAsOs
1.0
4.9968 0.0000 0.0000
0.0000 4.9968 0.0000
0.0000 0.0000 4.5069
Zr Ge As Os
2 1 1 1
Direct
0.0000 0.5000 0.0000 Zr
0.5000 0.0000 0.0000 Zr
0.0000 0.0000 0.5000 Ge
0.5000 0.5000 0.0000 As
0.5000 0.5000 0.5000 Os
```

Summary:
Crystal system ... tetragonal
Energy of formation ... 0.461 eV per atom


Record 15
Here is an optimized crystal structure of GeAsP3 from the Alexandria database. Energies are from PBE-GGA.

```
GeAsP3
1.0
4.7146 0.0000 0.0000
0.0000 4.7146 0.0000
0.0000 0.0000 4.7146
Ge As P
1 1 3
Direct
0.0000 0.0000 0.0000 Ge
0.5000 0.5000 0.5000 As
0.0000 0.5000 0.5000 P
0.5000 0.0000 0.5000 P
0.5000 0.5000 0.0000 P
```

Summary:
Offset from the most stable computed form ... 0.0 meV per atom
Crystal system ... cubic
Energy of formation ... 1.020 eV per atom


Record 16
Here is an optimized crystal structure of Ge3AsP from the Alexandria database. Energies are from PBE-GGA.

```
Ge3AsP
1.0
4.8111 0.0000 0.0000
0.0000 4.8111 0.0000
0.0000 0.0000 4.8111
Ge As P
3 1 1
Direct
0.0000 0.0000 0.5000 Ge
0.0000 0.5000 0.0000 Ge
0.5000 0.0000 0.0000 Ge
0.5000 0.5000 0.5000 As
0.0000 0.0000 0.0000 P
```

Summary:
Offset from the most stable computed form ... 0.0 meV per atom
Crystal system ... cubic
Energy of formation ... 0.639 eV per atom


Record 17
Here is an optimized crystal structure of GeAs3P from the Alexandria database. Energies are from PBE-GGA.

```
GeAs3P
1.0
4.7669 0.0000 0.0000
0.0000 4.7669 0.0000
0.0000 0.0000 4.7669
Ge As P
1 3 1
Direct
0.0000 0.0000 0.0000 Ge
0.0000 0.5000 0.5000 As
0.5000 0.0000 0.5000 As
0.5000 0.5000 0.0000 As
0.5000 0.5000 0.5000 P
```

Summary:
Offset from the most stable computed form ... 0.0 meV per atom
Crystal system ... cubic
Energy of formation ... 0.714 eV per atom


Record 18
Here is an optimized crystal structure of Pa6GeAs3P2 from the Alexandria database. Energies are from PBE-GGA.

```
Pa6GeAs3P2
1.0
8.8548 -2.0265 0.0000
8.8548 2.0265 0.0000
-1.8908 0.0000 7.9104
Pa Ge As P
6 1 3 2
Direct
0.0044 0.0044 0.2523 Pa
0.3305 0.3305 0.4234 Pa
0.3323 0.3323 0.9063 Pa
0.6677 0.6677 0.0937 Pa
0.6695 0.6695 0.5766 Pa
0.9956 0.9956 0.7477 Pa
0.5000 0.5000 0.0000 Ge
0.1644 0.1644 0.8334 As
0.5000 0.5000 0.5000 As
0.8356 0.8356 0.1666 As
0.1676 0.1676 0.3343 P
0.8324 0.8324 0.6657 P
```

Summary:
Crystal system ... monoclinic
Energy of formation ... -1.049 eV per atom


Record 19
Here is an optimized crystal structure of Pa4Ge2AsP from the Alexandria database. Energies are from PBE-GGA.

```
Pa4Ge2AsP
1.0
7.0619 0.0000 0.0000
0.0000 4.0852 0.0000
-2.3638 0.0000 6.6763
Pa Ge As P
4 2 1 1
Direct
0.2414 0.0000 0.2412 Pa
0.2456 0.5000 0.7548 Pa
0.7544 0.5000 0.2452 Pa
0.7586 0.0000 0.7588 Pa
0.5000 0.0000 0.0000 Ge
0.5000 0.5000 0.5000 Ge
0.0000 0.0000 0.5000 As
0.0000 0.5000 0.0000 P
```

Summary:
Crystal system ... monoclinic
Energy of formation ... -0.814 eV per atom


Record 20
Here is an optimized crystal structure of Pr6GeAs3P2 from the Alexandria database. Energies are from PBE-GGA.

```
Pr6GeAs3P2
1.0
9.2914 -2.1340 0.0000
9.2914 2.1340 0.0000
-1.9251 0.0000 8.3553
Pr Ge As P
6 1 3 2
Direct
0.0023 0.0023 0.2554 Pr
0.3311 0.3311 0.4202 Pr
0.3316 0.3316 0.9098 Pr
0.6684 0.6684 0.0902 Pr
0.6689 0.6689 0.5798 Pr
0.9977 0.9977 0.7446 Pr
0.5000 0.5000 0.0000 Ge
0.1664 0.1664 0.8336 As
0.5000 0.5000 0.5000 As
0.8336 0.8336 0.1664 As
0.1673 0.1673 0.3350 P
0.8327 0.8327 0.6650 P
```

Summary:
Crystal system ... monoclinic
Energy of formation ... -1.353 eV per atom